[1]
Computed, not measured: crystalline Ge2BiPd2 at its relaxed geometry at the PBE level of DFT.

Cell and atoms, written as POSCAR:
```
Ge2BiPd2
1.0
-1.9900 1.9900 6.1911
1.9900 -1.9900 6.1911
1.9900 1.9900 -6.1911
Ge Bi Pd
2 1 2
Direct
0.2500 0.7500 0.5000 Ge
0.7500 0.2500 0.5000 Ge
0.0000 0.0000 0.0000 Bi
0.3854 0.3854 0.0000 Pd
0.6146 0.6146 0.0000 Pd
```

- Magnetization: 0.0 μB per formula unit
- ΔE_f: -0.19 eV/atom
- E above lowest polymorph: 0.027 eV per atom
- Crystal system: tetragonal
- DOS at the Fermi energy: 2.661 states/eV per cell

=====

[2]
Computed, not measured: crystalline MnPSeSN at its relaxed geometry at the PBE level of DFT.

Cell and atoms, written as POSCAR:
```
MnPSeSN
1.0
3.7656 0.0000 0.0000
1.3245 4.3817 0.0000
0.6127 1.6190 6.1890
Mn P Se S N
1 1 1 1 1
Direct
0.0000 0.0000 0.0000 Mn
0.3978 0.2309 0.1109 P
0.1408 0.5589 0.3179 Se
0.5837 0.7969 0.8179 S
0.6284 0.4076 0.8984 N
```

- Magnetization: 3.0 μB per formula unit
- E above lowest polymorph: 0.146 eV per atom
- Crystal system: triclinic
- DOS at the Fermi energy: 0.402 states/eV per cell